Record 1
Here is CePu2O6 after structural relaxation from Alexandria. Energies are from PBE.

Cell lengths 3.8184, 3.8184, 9.4039 Å; angles 90.00, 90.00, 120.00 degrees
Element x y z (fractional)
O1 0.6667 0.3333 0.5823
O2 0.0000 0.0000 0.7434
O3 0.3333 0.6667 0.4177
O4 0.6667 0.3333 0.0882
O5 0.0000 0.0000 0.2566
O6 0.3333 0.6667 0.9118
Ce1 0.0000 0.0000 0.0000
Pu1 0.3333 0.6667 0.6640
Pu2 0.6667 0.3333 0.3360

Calculated values
- crystal system = trigonal
- formation energy from raw total energies (kJ per mole of atoms) = -313
- density (g/cm3) = 10.13


Record 2
Here is Ce3Pu2O9 after structural relaxation from Alexandria. Energies are from PBE.

Cell lengths 3.8795, 3.8795, 13.8668 Å; angles 98.04, 98.04, 90.00 degrees
Element x y z (fractional)
Pu1 0.5536 0.0536 0.1072
Pu2 0.9464 0.4464 0.8928
O1 0.9094 0.9094 0.8189
O2 0.8040 0.8040 0.6080
O3 0.0906 0.0906 0.1811
O4 0.5000 0.5000 0.0000
O5 0.6013 0.6013 0.2027
O6 0.1960 0.1960 0.3920
O7 0.7024 0.7024 0.4048
O8 0.3987 0.3987 0.7973
O9 0.2976 0.2976 0.5952
Ce1 0.7500 0.2500 0.5000
Ce2 0.3492 0.8492 0.6983
Ce3 0.1508 0.6508 0.3017

Calculated values
- crystal system = tetragonal
- formation energy from raw total energies (kJ per mole of atoms) = -318
- density (g/cm3) = 8.54


Record 3
Here is Ce3PuO after structural relaxation from Alexandria. Energies are from PBE.

Cell lengths 4.8587, 4.8587, 4.8587 Å; angles 90.00, 90.00, 90.00 degrees
Element x y z (fractional)
Pu1 0.5000 0.5000 0.5000
Ce1 0.0000 0.0000 0.5000
Ce2 0.0000 0.5000 0.0000
Ce3 0.5000 0.0000 0.0000
O1 0.0000 0.0000 0.0000

Calculated values
- crystal system = cubic
- formation energy from raw total energies (kJ per mole of atoms) = -103
- density (g/cm3) = 9.85


Record 4
Here is Ce2PuO6 after structural relaxation from Alexandria. Energies are from PBE.

Cell lengths 3.8326, 5.4428, 6.6772 Å; angles 114.05, 106.68, 90.00 degrees
Element x y z (fractional)
O1 0.5000 0.2431 0.0000
O2 0.8358 0.0827 0.6715
O3 0.8358 0.5888 0.6715
O4 0.1642 0.4112 0.3285
O5 0.5000 0.7569 0.0000
O6 0.1642 0.9173 0.3285
Ce1 0.6667 0.6667 0.3334
Ce2 0.3333 0.3333 0.6666
Pu1 0.0000 0.0000 0.0000

Calculated values
- crystal system = orthorhombic
- formation energy from raw total energies (kJ per mole of atoms) = -321
- density (g/cm3) = 8.53


Record 5
Here is CePu4O10 after structural relaxation from Alexandria. Energies are from PBE.

Cell lengths 3.7914, 3.7914, 15.9897 Å; angles 83.19, 83.19, 60.00 degrees
Element x y z (fractional)
O1 0.5492 0.5492 0.3525
O2 0.6489 0.6489 0.0532
O3 0.1503 0.1503 0.5492
O4 0.3511 0.3511 0.9468
O5 0.7505 0.7505 0.7485
O6 0.4508 0.4508 0.6475
O7 0.8497 0.8497 0.4508
O8 0.0514 0.0514 0.8458
O9 0.9486 0.9486 0.1542
O10 0.2495 0.2495 0.2515
Pu1 0.1994 0.1994 0.4019
Pu2 0.8006 0.8006 0.5981
Pu3 0.5996 0.5996 0.2013
Pu4 0.4004 0.4004 0.7987
Ce1 0.0000 0.0000 0.0000

Calculated values
- crystal system = trigonal
- formation energy from raw total energies (kJ per mole of atoms) = -306
- density (g/cm3) = 10.75


Record 6
Here is CePu3O after structural relaxation from Alexandria. Energies are from PBE.

Cell lengths 4.8827, 4.8827, 4.8827 Å; angles 90.00, 90.00, 90.00 degrees
Element x y z (fractional)
Pu1 0.0000 0.0000 0.5000
Pu2 0.0000 0.5000 0.0000
Pu3 0.5000 0.0000 0.0000
Ce1 0.5000 0.5000 0.5000
O1 0.0000 0.0000 0.0000

Calculated values
- crystal system = cubic
- formation energy from raw total energies (kJ per mole of atoms) = -76
- density (g/cm3) = 12.67


Record 7
Here is CePu2O8 after structural relaxation from Alexandria. Energies are from PBE.

Cell lengths 4.4132, 7.4626, 6.3117 Å; angles 126.26, 85.44, 90.00 degrees
Element x y z (fractional)
Pu1 0.7305 0.6345 0.2689
Pu2 0.2695 0.3655 0.7310
O1 0.2625 0.1518 0.3036
O2 0.2552 0.1214 0.7412
O3 0.7662 0.4201 0.8403
O4 0.2553 0.6198 0.7414
O5 0.7447 0.3802 0.2586
O6 0.2338 0.5799 0.1597
O7 0.7448 0.8786 0.2588
O8 0.7375 0.8482 0.6964
Ce1 0.0000 0.0000 0.0000

Calculated values
- crystal system = monoclinic
- formation energy from raw total energies (kJ per mole of atoms) = -255
- density (g/cm3) = 7.53


Record 8
Here is CePu2O4 after structural relaxation from Alexandria. Energies are from PBE.

Cell lengths 3.5523, 5.9720, 6.6366 Å; angles 118.95, 105.52, 90.00 degrees
Element x y z (fractional)
O1 0.6406 0.2622 0.2813
O2 0.3594 0.7378 0.7187
O3 0.1364 0.8436 0.2728
O4 0.8636 0.1564 0.7272
Ce1 0.0000 0.0000 0.0000
Pu1 0.7009 0.7024 0.4017
Pu2 0.2991 0.2976 0.5983

Calculated values
- crystal system = monoclinic
- formation energy from raw total energies (kJ per mole of atoms) = -276
- density (g/cm3) = 9.80


Record 9
Here is Ce3PuO4 after structural relaxation from Alexandria. Energies are from PBE.

Cell lengths 4.9698, 4.9698, 4.9698 Å; angles 90.00, 90.00, 90.00 degrees
Element x y z (fractional)
O1 0.0000 0.5000 0.0000
O2 0.5000 0.0000 0.0000
O3 0.0000 0.0000 0.5000
O4 0.5000 0.5000 0.5000
Pu1 0.0000 0.0000 0.0000
Ce1 0.5000 0.0000 0.5000
Ce2 0.0000 0.5000 0.5000
Ce3 0.5000 0.5000 0.0000

Calculated values
- crystal system = cubic
- formation energy from raw total energies (kJ per mole of atoms) = -268
- density (g/cm3) = 9.85


Record 10
Here is Rb4CePu3O12 after structural relaxation from Alexandria. Energies are from PBE.

Cell lengths 7.5164, 7.5164, 7.5164 Å; angles 109.47, 109.47, 109.47 degrees
Element x y z (fractional)
O1 0.0000 0.7380 0.7380
O2 0.2620 0.2620 0.0000
O3 0.7380 0.0000 0.7380
O4 0.7380 0.7380 0.0000
O5 0.2500 0.7500 0.5000
O6 0.5000 0.7500 0.2500
O7 0.5000 0.2500 0.7500
O8 0.0000 0.2620 0.2620
O9 0.7500 0.2500 0.5000
O10 0.7500 0.5000 0.2500
O11 0.2620 0.0000 0.2620
O12 0.2500 0.5000 0.7500
Pu1 0.0000 0.5000 0.5000
Pu2 0.5000 0.5000 0.0000
Pu3 0.5000 0.0000 0.5000
Rb1 0.0000 0.0000 0.5000
Rb2 0.0000 0.5000 0.0000
Rb3 0.5000 0.0000 0.0000
Rb4 0.5000 0.5000 0.5000
Ce1 0.0000 0.0000 0.0000

Calculated values
- crystal system = cubic
- formation energy from raw total energies (kJ per mole of atoms) = -248
- density (g/cm3) = 7.14


Record 11
Here is Rb4Ce3PuO8 after structural relaxation from Alexandria. Energies are from PBE.

Cell lengths 7.3065, 7.8179, 7.3068 Å; angles 117.87, 120.00, 90.00 degrees
Element x y z (fractional)
O1 0.2264 0.6774 0.9510
O2 0.7264 0.6793 0.4529
O3 0.2754 0.3226 0.0490
O4 0.7246 0.6774 0.9510
O5 0.7736 0.3226 0.5472
O6 0.2264 0.6774 0.4528
O7 0.2736 0.3207 0.5471
O8 0.7736 0.3226 0.0490
Ce1 0.5000 0.5000 0.5000
Ce2 0.0000 0.5000 0.5000
Ce3 0.5000 0.5000 0.0000
Rb1 0.5000 0.0000 0.0000
Rb2 0.5000 0.0000 0.5000
Rb3 0.0000 0.0000 0.5000
Rb4 0.0000 0.0000 0.0000
Pu1 0.0000 0.5000 0.0000

Calculated values
- crystal system = trigonal
- formation energy from raw total energies (kJ per mole of atoms) = -240
- density (g/cm3) = 6.19


Record 12
Here is Rb2CePu3O12 after structural relaxation from Alexandria. Energies are from PBE.

Cell lengths 7.8318, 7.8318, 7.8318 Å; angles 61.08, 61.08, 61.08 degrees
Element x y z (fractional)
Pu1 0.0000 0.0000 0.5000
Pu2 0.5000 0.0000 0.0000
Pu3 0.0000 0.5000 0.0000
O1 0.3085 0.9364 0.3085
O2 0.6915 0.0636 0.6915
O3 0.9257 0.9257 0.3397
O4 0.3397 0.9257 0.9257
O5 0.6915 0.6915 0.0636
O6 0.9364 0.3085 0.3085
O7 0.0743 0.6603 0.0743
O8 0.0636 0.6915 0.6915
O9 0.3085 0.3085 0.9364
O10 0.0743 0.0743 0.6603
O11 0.6603 0.0743 0.0743
O12 0.9257 0.3397 0.9257
Rb1 0.3596 0.3596 0.3596
Rb2 0.6404 0.6404 0.6404
Ce1 0.0000 0.0000 0.0000

Calculated values
- crystal system = trigonal
- formation energy from raw total energies (kJ per mole of atoms) = -248
- density (g/cm3) = 5.89


Record 13
Here is CePuRhO6 after structural relaxation from Alexandria. Energies are from PBE.

Cell lengths 5.3189, 5.3189, 10.2100 Å; angles 90.00, 90.00, 120.00 degrees
Element x y z (fractional)
O1 0.6630 0.0146 0.8647
O2 0.9854 0.6484 0.8647
O3 0.3370 0.3516 0.3647
O4 0.3370 0.9854 0.1353
O5 0.6484 0.6630 0.1353
O6 0.3516 0.3370 0.8647
O7 0.0146 0.3516 0.1353
O8 0.3516 0.0146 0.6353
O9 0.6484 0.9854 0.3647
O10 0.0146 0.6630 0.3647
O11 0.6630 0.6484 0.6353
O12 0.9854 0.3370 0.6353
Rh1 0.3333 0.6667 0.2500
Rh2 0.6667 0.3333 0.7500
Pu1 0.3333 0.6667 0.7500
Pu2 0.6667 0.3333 0.2500
Ce1 0.0000 0.0000 0.0000
Ce2 0.0000 0.0000 0.5000

Calculated values
- crystal system = trigonal
- formation energy from raw total energies (kJ per mole of atoms) = -230
- density (g/cm3) = 7.74


Record 14
Here is CePuSO2 after structural relaxation from Alexandria. Energies are from PBE.

Cell lengths 3.8460, 3.8460, 6.5813 Å; angles 106.99, 106.99, 90.00 degrees
Element x y z (fractional)
O1 0.7507 0.2507 0.5014
O2 0.2507 0.7507 0.5014
Ce1 0.8539 0.8539 0.7079
S1 0.5016 0.5016 0.0032
Pu1 0.1430 0.1430 0.2861

Calculated values
- crystal system = tetragonal
- formation energy from raw total energies (kJ per mole of atoms) = -267
- density (g/cm3) = 8.40


Record 15
Here is Ce2PuSeO4 after structural relaxation from Alexandria. Energies are from PBE.

Cell lengths 3.9143, 3.9143, 8.9556 Å; angles 90.00, 90.00, 90.00 degrees
Element x y z (fractional)
Ce1 0.5000 0.5000 0.7160
Ce2 0.5000 0.5000 0.2840
O1 0.0000 0.5000 0.8440
O2 0.0000 0.5000 0.1560
O3 0.5000 0.0000 0.8440
O4 0.5000 0.0000 0.1560
Pu1 0.0000 0.0000 0.0000
Se1 0.0000 0.0000 0.5000

Calculated values
- crystal system = tetragonal
- formation energy from raw total energies (kJ per mole of atoms) = -296
- density (g/cm3) = 8.07


Record 16
Here is CePuSe2O after structural relaxation from Alexandria. Energies are from PBE.

Cell lengths 4.0596, 4.0596, 14.4796 Å; angles 90.00, 90.00, 90.00 degrees
Element x y z (fractional)
O1 0.5000 0.5000 0.5000
O2 0.0000 0.0000 0.5000
Se1 0.5000 0.0000 0.9070
Se2 0.5000 0.0000 0.3162
Se3 0.0000 0.5000 0.0930
Se4 0.0000 0.5000 0.6838
Ce1 0.5000 0.0000 0.1232
Ce2 0.0000 0.5000 0.8768
Pu1 0.5000 0.0000 0.5788
Pu2 0.0000 0.5000 0.4212

Calculated values
- crystal system = tetragonal
- formation energy from raw total energies (kJ per mole of atoms) = -206
- density (g/cm3) = 7.77


Record 17
Here is CeSmPuO6 after structural relaxation from Alexandria. Energies are from PBE.

Cell lengths 5.8479, 5.8479, 9.4081 Å; angles 90.00, 90.00, 120.00 degrees
Element x y z (fractional)
O1 0.0284 0.3510 0.8693
O2 0.3226 0.9716 0.8693
O3 0.6774 0.6490 0.3693
O4 0.9716 0.3226 0.3693
O5 0.9716 0.6490 0.1307
O6 0.3226 0.3510 0.6307
O7 0.0284 0.6774 0.6307
O8 0.3510 0.3226 0.1307
O9 0.3510 0.0284 0.3693
O10 0.6490 0.9716 0.6307
O11 0.6490 0.6774 0.8693
O12 0.6774 0.0284 0.1307
Pu1 0.6667 0.3333 0.2500
Pu2 0.3333 0.6667 0.7500
Sm1 0.6667 0.3333 0.7500
Sm2 0.3333 0.6667 0.2500
Ce1 0.0000 0.0000 0.5000
Ce2 0.0000 0.0000 0.0000

Calculated values
- crystal system = trigonal
- formation energy from raw total energies (kJ per mole of atoms) = -295
- density (g/cm3) = 7.51


Record 18
Here is CeSm2PuO8 after structural relaxation from Alexandria. Energies are from PBE.

Cell lengths 3.8717, 5.4866, 7.6989 Å; angles 92.95, 89.70, 93.29 degrees
Element x y z (fractional)
O1 0.0216 0.7520 0.2460
O2 0.4638 0.2255 0.9905
O3 0.5362 0.7745 0.0095
O4 0.0271 0.7780 0.7815
O5 0.5141 0.7562 0.5134
O6 0.9784 0.2480 0.7540
O7 0.4859 0.2438 0.4866
O8 0.9729 0.2220 0.2185
Pu1 0.0000 0.0000 0.0000
Sm1 0.4994 0.5078 0.2511
Sm2 0.5006 0.4922 0.7489
Ce1 0.0000 0.0000 0.5000

Calculated values
- crystal system = triclinic
- formation energy from raw total energies (kJ per mole of atoms) = -305
- density (g/cm3) = 8.28


Record 19
Here is SrCe2PuO8 after structural relaxation from Alexandria. Energies are from PBE.

Cell lengths 4.0583, 5.4944, 7.4663 Å; angles 89.46, 90.00, 90.03 degrees
Element x y z (fractional)
O1 0.9997 0.2238 0.7931
O2 0.9998 0.2739 0.2228
O3 0.5000 0.2711 0.5101
O4 0.0003 0.7762 0.2069
O5 0.0002 0.7261 0.7772
O6 0.5004 0.7691 0.9923
O7 0.5000 0.7289 0.4899
O8 0.4996 0.2309 0.0077
Ce1 0.5000 0.4899 0.2526
Ce2 0.5000 0.5101 0.7474
Pu1 0.0000 0.0000 0.0000
Sr1 0.0000 0.0000 0.5000

Calculated values
- crystal system = monoclinic
- formation energy from raw total energies (kJ per mole of atoms) = -292
- density (g/cm3) = 7.38


Record 20
Here is CePuTaO6 after structural relaxation from Alexandria. Energies are from PBE.

Cell lengths 5.6658, 5.6658, 9.4619 Å; angles 90.00, 90.00, 120.00 degrees
Element x y z (fractional)
Ce1 0.6667 0.3333 0.7500
Ce2 0.3333 0.6667 0.2500
O1 0.3278 0.9629 0.6347
O2 0.3278 0.3649 0.8653
O3 0.9629 0.6351 0.3653
O4 0.3649 0.0371 0.1347
O5 0.6351 0.9629 0.8653
O6 0.0371 0.6722 0.8653
O7 0.3649 0.3278 0.3653
O8 0.6722 0.0371 0.3653
O9 0.6722 0.6351 0.1347
O10 0.0371 0.3649 0.6347
O11 0.9629 0.3278 0.1347
O12 0.6351 0.6722 0.6347
Ta1 0.6667 0.3333 0.2500
Ta2 0.3333 0.6667 0.7500
Pu1 0.0000 0.0000 0.5000
Pu2 0.0000 0.0000 0.0000

Calculated values
- crystal system = trigonal
- formation energy from raw total energies (kJ per mole of atoms) = -293
- density (g/cm3) = 8.35